Record 1
Entry from Alexandria via LeMat-Bulk: a relaxed SmTh5 crystal (PBE).

## Properties
M_tot = 0.000 μB per formula unit
Final energy = -6.85 eV/atom
DOS(E_F) = 1.899 states/eV/atom
Mass density = 11.17 Mg/m³
Excess energy over the best structure of this formula in the dataset = 92 meV per atom
Formation energy from the elements = 0.122 eV per atom

Unit cell a=3.586 b=6.032 c=9.495 alpha=108.52 beta=90.00 gamma=90.00
Fractional positions:
Th: 0.500 0.500 0.000
Th: 0.000 0.333 0.666
Th: 0.500 0.832 0.664
Th: 0.000 0.667 0.334
Th: 0.500 0.168 0.336
Sm: 0.000 0.000 0.000



Record 2
Entry from Alexandria via LeMat-Bulk: a relaxed SmTh crystal (PBE).

## Properties
M_tot = 0.000 μB per formula unit
Final energy = -6.06 eV/atom
DOS(E_F) = 1.449 states/eV/atom
Mass density = 9.62 Mg/m³
Excess energy over the best structure of this formula in the dataset = 0 meV per atom
Formation energy from the elements = 0.014 eV per atom

Unit cell a=3.612 b=3.611 c=11.872 alpha=81.24 beta=81.24 gamma=59.96
Fractional positions:
Th: 0.708 0.707 0.879
Sm: 0.122 0.122 0.632
Th: 0.292 0.293 0.121
Sm: 0.878 0.878 0.368



Record 3
Entry from Alexandria via LeMat-Bulk: a relaxed Sm2ThTi crystal (PBE).

## Properties
M_tot = 1.920 μB per formula unit
Final energy = -5.75 eV/atom
DOS(E_F) = 1.188 states/eV/atom
Mass density = 8.05 Mg/m³
Formation energy from the elements = 0.440 eV per atom

Unit cell a=3.424 b=3.424 c=11.959 alpha=81.77 beta=81.77 gamma=60.00
Fractional positions:
Sm: 0.084 0.084 0.747
Th: 0.500 0.500 0.500
Sm: 0.916 0.916 0.253
Ti: 0.000 0.000 0.000



Record 4
Entry from Alexandria via LeMat-Bulk: a relaxed SmThTi crystal (PBE).

## Properties
M_tot = 0.000 μB per formula unit
Final energy = -6.39 eV/atom
DOS(E_F) = 1.795 states/eV/atom
Mass density = 8.69 Mg/m³
Formation energy from the elements = 0.293 eV per atom

Unit cell a=3.387 b=3.386 c=16.553 alpha=90.00 beta=90.00 gamma=120.01
Fractional positions:
Th: 0.613 0.226 0.000
Sm: 0.611 0.221 0.690
Sm: 0.611 0.221 0.310
Ti: 0.277 0.554 0.155
Ti: 0.277 0.554 0.845
Th: 0.278 0.555 0.500



Record 5
Entry from Alexandria via LeMat-Bulk: a relaxed SmTh2Tl crystal (PBE).

## Properties
M_tot = 0.001 μB per formula unit
Final energy = -5.45 eV/atom
DOS(E_F) = 1.462 states/eV/atom
Mass density = 10.70 Mg/m³
Excess energy over the best structure of this formula in the dataset = 136 meV per atom
Formation energy from the elements = 0.031 eV per atom

Unit cell a=3.557 b=3.557 c=11.778 alpha=81.31 beta=81.31 gamma=60.00
Fractional positions:
Th: 0.086 0.086 0.742
Sm: 0.666 0.666 0.002
Th: 0.247 0.247 0.258
Tl: 0.500 0.500 0.499



Record 6
Entry from Alexandria via LeMat-Bulk: a relaxed SmThTl6 crystal (PBE).

## Properties
M_tot = 0.000 μB per formula unit
Final energy = -3.52 eV/atom
DOS(E_F) = 0.338 states/eV/atom
Mass density = 12.02 Mg/m³
Formation energy from the elements = -0.225 eV per atom

Unit cell a=4.809 b=4.809 c=9.613 alpha=90.00 beta=90.00 gamma=90.00
Fractional positions:
Tl: 0.500 0.000 0.747
Tl: 0.000 0.500 0.747
Th: 0.000 0.000 0.000
Tl: 0.000 0.500 0.253
Sm: 0.000 0.000 0.500
Tl: 0.500 0.000 0.253
Tl: 0.500 0.500 0.000
Tl: 0.500 0.500 0.500



Record 7
Entry from Alexandria via LeMat-Bulk: a relaxed SmTh2Tl crystal (PBE).

## Properties
M_tot = 0.000 μB per formula unit
Final energy = -5.59 eV/atom
DOS(E_F) = 1.062 states/eV/atom
Mass density = 10.62 Mg/m³
Excess energy over the best structure of this formula in the dataset = 0 meV per atom
Formation energy from the elements = -0.106 eV per atom

Unit cell a=4.763 b=4.721 c=11.639 alpha=90.00 beta=101.85 gamma=90.00
Fractional positions:
Tl: 0.169 0.250 0.337
Sm: 0.695 0.750 0.388
Th: 0.560 0.250 0.120
Th: 0.440 0.750 0.880
Th: 0.941 0.250 0.882
Sm: 0.305 0.250 0.612
Tl: 0.831 0.750 0.663
Th: 0.059 0.750 0.118



Record 8
Entry from Alexandria via LeMat-Bulk: a relaxed Sm2ThTl crystal (PBE).

## Properties
M_tot = 0.000 μB per formula unit
Final energy = -4.73 eV/atom
DOS(E_F) = 1.407 states/eV/atom
Mass density = 8.97 Mg/m³
Excess energy over the best structure of this formula in the dataset = 262 meV per atom
Formation energy from the elements = 0.077 eV per atom

Unit cell a=3.606 b=3.606 c=12.292 alpha=81.56 beta=81.56 gamma=60.00
Fractional positions:
Th: 0.500 0.500 0.500
Tl: 0.000 0.000 0.000
Sm: 0.911 0.911 0.268
Sm: 0.089 0.089 0.732



Record 9
Entry from Alexandria via LeMat-Bulk: a relaxed Sm2ThTl2 crystal (PBE).

## Properties
M_tot = 0.000 μB per formula unit
Final energy = -4.39 eV/atom
DOS(E_F) = 1.148 states/eV/atom
Mass density = 10.18 Mg/m³
Formation energy from the elements = -0.076 eV per atom

Unit cell a=5.568 b=3.565 c=8.220 alpha=90.00 beta=109.80 gamma=90.00
Fractional positions:
Th: 0.000 0.000 0.000
Sm: 0.634 0.000 0.268
Tl: 0.820 0.500 0.640
Sm: 0.366 0.000 0.732
Tl: 0.180 0.500 0.360



Record 10
Entry from Alexandria via LeMat-Bulk: a relaxed Sm6ThTl5 crystal (PBE).

## Properties
M_tot = 0.001 μB per formula unit
Final energy = -4.23 eV/atom
DOS(E_F) = 1.146 states/eV/atom
Mass density = 10.13 Mg/m³
Formation energy from the elements = -0.268 eV per atom

Unit cell a=5.120 b=8.904 c=9.303 alpha=118.59 beta=105.98 gamma=89.99
Fractional positions:
Sm: 0.830 0.090 0.660
Sm: 0.500 0.730 0.000
Tl: 0.652 0.152 0.304
Sm: 0.170 0.430 0.340
Sm: 0.830 0.570 0.660
Tl: 0.676 0.676 0.353
Th: 0.000 0.000 0.000
Sm: 0.170 0.910 0.340
Tl: 0.348 0.848 0.696
Sm: 0.500 0.270 0.000
Tl: 0.000 0.500 0.000
Tl: 0.324 0.324 0.647



Record 11
Entry from Alexandria via LeMat-Bulk: a relaxed SmTh2Tl crystal (PBE).

## Properties
M_tot = 0.000 μB per formula unit
Final energy = -5.58 eV/atom
DOS(E_F) = 0.942 states/eV/atom
Mass density = 11.21 Mg/m³
Excess energy over the best structure of this formula in the dataset = 4 meV per atom
Formation energy from the elements = -0.102 eV per atom

Unit cell a=5.128 b=4.863 c=4.863 alpha=90.00 beta=90.00 gamma=90.00
Fractional positions:
Tl: 0.500 0.000 0.000
Th: 0.000 0.000 0.500
Sm: 0.500 0.500 0.500
Th: 0.000 0.500 0.000



Record 12
Entry from Alexandria via LeMat-Bulk: a relaxed SmThTl2 crystal (PBE).

## Properties
M_tot = 0.000 μB per formula unit
Final energy = -4.45 eV/atom
DOS(E_F) = 1.096 states/eV/atom
Mass density = 11.34 Mg/m³
Formation energy from the elements = -0.229 eV per atom

Unit cell a=4.541 b=5.051 c=5.051 alpha=90.00 beta=90.00 gamma=90.00
Fractional positions:
Th: 0.500 0.500 0.500
Tl: 0.000 0.000 0.500
Tl: 0.000 0.500 0.000
Sm: 0.500 0.000 0.000



Record 13
Entry from Alexandria via LeMat-Bulk: a relaxed SmThTl crystal (PBE).

## Properties
M_tot = 0.001 μB per formula unit
Final energy = -4.80 eV/atom
DOS(E_F) = 1.710 states/eV/atom
Mass density = 10.45 Mg/m³
Excess energy over the best structure of this formula in the dataset = 198 meV per atom
Formation energy from the elements = 0.040 eV per atom

Unit cell a=3.635 b=5.443 c=5.443 alpha=120.00 beta=90.00 gamma=90.00
Fractional positions:
Tl: 0.690 0.667 0.333
Sm: 0.927 0.000 0.000
Th: 0.383 0.333 0.667



Record 14
Entry from Alexandria via LeMat-Bulk: a relaxed Sm2ThTl crystal (PBE).

## Properties
M_tot = 0.000 μB per formula unit
Final energy = -4.99 eV/atom
DOS(E_F) = 0.824 states/eV/atom
Mass density = 10.01 Mg/m³
Excess energy over the best structure of this formula in the dataset = 0 meV per atom
Formation energy from the elements = -0.186 eV per atom

Unit cell a=3.646 b=3.646 c=9.199 alpha=90.00 beta=90.00 gamma=90.00
Fractional positions:
Tl: 0.500 0.500 0.000
Sm: 0.000 0.000 0.237
Sm: 0.000 0.000 0.763
Th: 0.500 0.500 0.500



Record 15
Entry from Alexandria via LeMat-Bulk: a relaxed Sm5ThTl crystal (PBE).

## Properties
M_tot = 1.012 μB per formula unit
Final energy = -4.44 eV/atom
DOS(E_F) = 1.515 states/eV/atom
Mass density = 8.15 Mg/m³
Formation energy from the elements = 0.324 eV per atom

Unit cell a=5.813 b=5.813 c=7.164 alpha=90.00 beta=90.00 gamma=90.00
Fractional positions:
Sm: 0.000 0.500 0.741
Sm: 0.500 0.500 0.000
Tl: 0.000 0.000 0.000
Th: 0.000 0.000 0.500
Sm: 0.500 0.000 0.259
Sm: 0.000 0.500 0.259
Sm: 0.500 0.000 0.741



Record 16
Entry from Alexandria via LeMat-Bulk: a relaxed SmTh2Tl crystal (PBE).

## Properties
M_tot = 0.000 μB per formula unit
Final energy = -5.45 eV/atom
DOS(E_F) = 1.390 states/eV/atom
Mass density = 10.77 Mg/m³
Excess energy over the best structure of this formula in the dataset = 139 meV per atom
Formation energy from the elements = 0.034 eV per atom

Unit cell a=3.519 b=3.519 c=10.199 alpha=90.00 beta=90.00 gamma=90.00
Fractional positions:
Th: 0.000 0.000 0.236
Th: 0.000 0.000 0.764
Sm: 0.500 0.500 0.500
Tl: 0.500 0.500 0.000



Record 17
Entry from Alexandria via LeMat-Bulk: a relaxed Sm2ThTl crystal (PBE).

## Properties
M_tot = 0.000 μB per formula unit
Final energy = -4.77 eV/atom
DOS(E_F) = 1.765 states/eV/atom
Mass density = 10.15 Mg/m³
Excess energy over the best structure of this formula in the dataset = 227 meV per atom
Formation energy from the elements = 0.041 eV per atom

Unit cell a=5.545 b=5.545 c=5.545 alpha=60.00 beta=60.00 gamma=60.00
Fractional positions:
Th: 0.000 0.000 0.000
Sm: 0.250 0.250 0.250
Sm: 0.750 0.750 0.750
Tl: 0.500 0.500 0.500



Record 18
Entry from Alexandria via LeMat-Bulk: a relaxed SmThTl crystal (PBE).

## Properties
M_tot = 0.000 μB per formula unit
Final energy = -4.99 eV/atom
DOS(E_F) = 0.963 states/eV/atom
Mass density = 10.20 Mg/m³
Excess energy over the best structure of this formula in the dataset = 0 meV per atom
Formation energy from the elements = -0.158 eV per atom

Unit cell a=4.687 b=4.687 c=9.307 alpha=104.58 beta=104.58 gamma=90.00
Fractional positions:
Th: 0.500 0.000 0.000
Th: 0.000 0.500 0.000
Sm: 0.822 0.822 0.644
Tl: 0.360 0.360 0.720
Sm: 0.178 0.178 0.356
Tl: 0.640 0.640 0.280



Record 19
Entry from Alexandria via LeMat-Bulk: a relaxed SmThTl2 crystal (PBE).

## Properties
M_tot = 0.000 μB per formula unit
Final energy = -4.35 eV/atom
DOS(E_F) = 1.175 states/eV/atom
Mass density = 10.84 Mg/m³
Formation energy from the elements = -0.131 eV per atom

Unit cell a=3.624 b=3.624 c=10.864 alpha=80.40 beta=80.40 gamma=60.00
Fractional positions:
Sm: 0.500 0.500 0.500
Th: 0.000 0.000 0.000
Tl: 0.752 0.752 0.743
Tl: 0.248 0.248 0.257



Record 20
Entry from Alexandria via LeMat-Bulk: a relaxed SmThTl crystal (PBE).

## Properties
M_tot = 0.000 μB per formula unit
Final energy = -4.87 eV/atom
DOS(E_F) = 1.215 states/eV/atom
Mass density = 10.08 Mg/m³
Excess energy over the best structure of this formula in the dataset = 123 meV per atom
Formation energy from the elements = -0.035 eV per atom

Unit cell a=9.672 b=9.672 c=9.146 alpha=140.26 beta=140.26 gamma=21.28
Fractional positions:
Th: 0.379 0.379 0.224
Sm: 0.815 0.815 0.778
Tl: 0.924 0.924 0.630
Th: 0.621 0.621 0.776
Tl: 0.076 0.076 0.370
Sm: 0.185 0.185 0.222



Record 21
Entry from Alexandria via LeMat-Bulk: a relaxed SmThTl3 crystal (PBE).

## Properties
M_tot = 0.000 μB per formula unit
Final energy = -3.98 eV/atom
DOS(E_F) = 0.787 states/eV/atom
Mass density = 10.99 Mg/m³
Formation energy from the elements = -0.128 eV per atom

Unit cell a=8.767 b=8.298 c=8.298 alpha=85.44 beta=90.01 gamma=90.01
Fractional positions:
Th: 0.075 0.346 0.153
Th: 0.425 0.847 0.654
Sm: 0.250 0.372 0.628
Th: 0.925 0.654 0.847
Tl: 0.598 0.474 0.707
Sm: 0.750 0.128 0.872
Tl: 0.099 0.027 0.794
Th: 0.575 0.153 0.346
Tl: 0.098 0.707 0.474
Tl: 0.287 0.581 0.919
Tl: 0.402 0.526 0.293
Sm: 0.750 0.628 0.372
Tl: 0.713 0.419 0.081
Tl: 0.213 0.081 0.419
Tl: 0.902 0.293 0.526
Tl: 0.401 0.206 0.973
Tl: 0.901 0.973 0.206
Tl: 0.599 0.794 0.027
Sm: 0.250 0.872 0.128
Tl: 0.787 0.919 0.581



Record 22
Entry from Alexandria via LeMat-Bulk: a relaxed Sm7ThTl4 crystal (PBE).

## Properties
M_tot = 0.000 μB per formula unit
Final energy = -4.19 eV/atom
DOS(E_F) = 1.127 states/eV/atom
Mass density = 9.21 Mg/m³
Formation energy from the elements = -0.026 eV per atom

Unit cell a=5.997 b=9.308 c=8.017 alpha=69.41 beta=68.04 gamma=71.21
Fractional positions:
Sm: 0.801 0.884 0.513
Tl: 0.543 0.291 0.624
Sm: 0.500 0.000 0.000
Sm: 0.741 0.309 0.210
Sm: 0.259 0.691 0.790
Sm: 0.199 0.116 0.487
Tl: 0.689 0.662 0.960
Sm: 0.935 0.397 0.732
Tl: 0.311 0.338 0.040
Sm: 0.065 0.603 0.268
Th: 0.000 0.000 0.000
Tl: 0.457 0.709 0.376



Record 23
Entry from Alexandria via LeMat-Bulk: a relaxed SmTh2Tl3 crystal (PBE).

## Properties
M_tot = 0.001 μB per formula unit
Final energy = -4.66 eV/atom
DOS(E_F) = 1.023 states/eV/atom
Mass density = 11.72 Mg/m³
Formation energy from the elements = -0.219 eV per atom

Unit cell a=3.576 b=3.576 c=13.602 alpha=90.00 beta=90.00 gamma=90.00
Fractional positions:
Th: 0.500 0.500 0.832
Th: 0.500 0.500 0.168
Tl: 0.000 0.000 0.662
Tl: 0.000 0.000 0.338
Tl: 0.000 0.000 0.000
Sm: 0.500 0.500 0.500



Record 24
Entry from Alexandria via LeMat-Bulk: a relaxed Sm9ThTl2 crystal (PBE).

## Properties
M_tot = 0.000 μB per formula unit
Final energy = -4.66 eV/atom
DOS(E_F) = 1.399 states/eV/atom
Mass density = 8.86 Mg/m³
Formation energy from the elements = -0.107 eV per atom

Unit cell a=4.976 b=4.976 c=15.092 alpha=90.00 beta=90.00 gamma=90.00
Fractional positions:
Sm: 0.500 0.500 0.338
Tl: 0.000 0.000 0.663
Sm: 0.000 0.500 0.500
Sm: 0.500 0.000 0.500
Sm: 0.000 0.500 0.831
Sm: 0.000 0.500 0.169
Sm: 0.500 0.500 0.662
Sm: 0.500 0.000 0.169
Tl: 0.000 0.000 0.337
Th: 0.000 0.000 0.000
Sm: 0.500 0.500 0.000
Sm: 0.500 0.000 0.831



Record 25
Entry from Alexandria via LeMat-Bulk: a relaxed SmThTl2 crystal (PBE).

## Properties
M_tot = 0.000 μB per formula unit
Final energy = -4.47 eV/atom
DOS(E_F) = 0.882 states/eV/atom
Mass density = 11.36 Mg/m³
Formation energy from the elements = -0.257 eV per atom

Unit cell a=3.598 b=3.598 c=8.935 alpha=90.00 beta=90.00 gamma=90.00
Fractional positions:
Th: 0.500 0.500 0.000
Tl: 0.000 0.000 0.255
Sm: 0.500 0.500 0.500
Tl: 0.000 0.000 0.745



Record 26
Entry from Alexandria via LeMat-Bulk: a relaxed Sm2ThTl crystal (PBE).

## Properties
M_tot = 0.000 μB per formula unit
Final energy = -4.94 eV/atom
DOS(E_F) = 1.499 states/eV/atom
Mass density = 10.17 Mg/m³
Excess energy over the best structure of this formula in the dataset = 53 meV per atom
Formation energy from the elements = -0.133 eV per atom

Unit cell a=4.837 b=4.989 c=4.989 alpha=90.00 beta=90.00 gamma=90.00
Fractional positions:
Sm: 0.000 0.000 0.500
Sm: 0.000 0.500 0.000
Th: 0.500 0.500 0.500
Tl: 0.500 0.000 0.000



Record 27
Entry from Alexandria via LeMat-Bulk: a relaxed SmTh2Tl crystal (PBE).

## Properties
M_tot = 0.000 μB per formula unit
Final energy = -5.29 eV/atom
DOS(E_F) = 1.330 states/eV/atom
Mass density = 10.75 Mg/m³
Excess energy over the best structure of this formula in the dataset = 293 meV per atom
Formation energy from the elements = 0.187 eV per atom

Unit cell a=3.426 b=3.426 c=12.603 alpha=82.19 beta=82.19 gamma=60.00
Fractional positions:
Sm: 0.000 0.000 0.000
Th: 0.910 0.910 0.271
Th: 0.090 0.090 0.729
Tl: 0.500 0.500 0.500